# LiSc2Zn2, optimized geometry, DFT PBE
data_LiSc2Zn2
_cell_length_a 7.4279
_cell_length_b 7.4279
_cell_length_c 3.5710
_cell_angle_alpha 90.00
_cell_angle_beta 90.00
_cell_angle_gamma 90.00
_symmetry_space_group_name_H-M 'P 4/m b m'
_symmetry_Int_Tables_number 127
_symmetry_space_group_name_Hall '-P 4 2ab'
loop_
_atom_site_label
_atom_site_type_symbol
_atom_site_fract_x
_atom_site_fract_y
_atom_site_fract_z
_atom_site_occupancy
Li1 Li 0.0000 0.0000 0.0000 1
Sc1 Sc 0.1617 0.3383 0.5000 1
Zn1 Zn 0.1337 0.6337 0.0000 1
# N(E_F) (states/eV/atom): 0.7486
# Total magnetization (μB/f.u.): 0.0
# E above lowest polymorph (kJ per mole of atoms): 0.0